LiPr | GGA-PBE | optimized geometry

Unit cell a=4.4100 b=4.4100 c=4.4100 alpha=60.00 beta=60.00 gamma=60.00
With the nearest neighbours (Å) after each atom.
Fractional positions:
Pr: 0.5000 0.5000 0.5000  6 Li 3.12
Li: 0.0000 0.0000 0.0000  6 Pr 3.12

Computed properties:
magnetization: 1.31 Bohr magnetons per cell
energy above the lowest structure with this stoichiometry: 350 meV per atom

---

HoTlGeS3 | GGA-PBE | optimized geometry

Unit cell a=8.2140 b=3.8777 c=10.6692 alpha=90.00 beta=106.88 gamma=90.00
With the nearest neighbours (Å) after each atom.
Fractional positions:
Ho: 0.3577 0.2500 0.3458  6 S 2.71-2.74
S: 0.3402 0.2500 0.0858  2 Ge 2.50, 1 Ho 2.74
Tl: 0.2400 0.7500 0.7724  5 S 3.15-3.40, 1 Ge 3.41
Ge: 0.8590 0.2500 0.9388  3 S 2.36-2.50
S: 0.1130 0.7500 0.2755  1 Ge 2.36
S: 0.6019 0.7500 0.3931  3 Ho 2.71-2.73
S: 0.8870 0.2500 0.7245  1 Ge 2.36
Tl: 0.7600 0.2500 0.2276  5 S 3.15-3.40, 1 Ge 3.41
S: 0.6598 0.7500 0.9142  2 Ge 2.50, 1 Ho 2.74
Ho: 0.6423 0.7500 0.6542  6 S 2.71-2.74
S: 0.3981 0.2500 0.6069  3 Ho 2.71-2.73
Ge: 0.1410 0.7500 0.0612  3 S 2.36-2.50

Computed properties:
magnetization: 0.01 Bohr magnetons per cell
energy above the lowest structure with this stoichiometry: 0 meV per atom

---

RbPrZnTe3 | GGA-PBE | optimized geometry

Unit cell a=8.5364 b=8.5364 c=12.0624 alpha=90.00 beta=90.00 gamma=149.39
With the nearest neighbours (Å) after each atom.
Fractional positions:
Zn: 0.5361 0.4639 0.2500  4 Te 2.67-2.80
Te: 0.6284 0.3716 0.0678  1 Zn 2.67
Te: 0.3716 0.6284 0.5678  1 Zn 2.67
Pr: 0.0000 0.0000 0.5000  6 Te 3.20
Pr: 0.0000 0.0000 0.0000  6 Te 3.20
Te: 0.0652 0.9348 0.7500  2 Zn 2.80
Rb: 0.2519 0.7481 0.2500  6 Te 3.75-3.76
Zn: 0.4639 0.5361 0.7500  4 Te 2.67-2.80
Rb: 0.7481 0.2519 0.7500  6 Te 3.75-3.76
Te: 0.3716 0.6284 0.9322  1 Zn 2.67
Te: 0.9348 0.0652 0.2500  2 Zn 2.80
Te: 0.6284 0.3716 0.4322  1 Zn 2.67

Computed properties:
magnetization: 0.00 Bohr magnetons per cell
energy above the lowest structure with this stoichiometry: 0 meV per atom

---

Which value of magnetization does entry 2 give? 0.01 Bohr magnetons per cell

---

What is the formula in the second record? HoTlGeS3

---

Which of these has the highest energy above the lowest structure with this stoichiometry? LiPr

---

Number 1 is which compound? LiPr